SrCaMn2: relaxed, PBE. Values from VASP.

Summary:
ΔH_f (0 K) (kJ per mole of atoms): 83.7
VASP energy (eV per cell): -74.210
Offset from the most stable computed form (eV/atom): 0.365
Total moment (μB per atom): 1.83

Geometry as Quantum ESPRESSO input:
```
&SYSTEM
  ibrav = 0, nat = 16, ntyp = 3
/
ATOMIC_SPECIES
Sr 87.62 Sr.upf
Ca 40.08 Ca.upf
Mn 54.94 Mn.upf
CELL_PARAMETERS angstrom
8.379 0.000 0.000
0.000 8.379 0.000
0.000 0.000 6.418
ATOMIC_POSITIONS angstrom
Sr 0.000 0.000 0.000
Sr 0.000 4.190 1.604
Sr 4.190 0.000 4.813
Sr 4.190 4.190 3.209
Ca 0.000 0.000 3.209
Ca 0.000 4.190 4.813
Ca 4.190 0.000 1.604
Ca 4.190 4.190 0.000
Mn 2.012 2.095 4.011
Mn 2.095 6.201 5.615
Mn 2.095 6.367 2.407
Mn 2.178 2.095 0.802
Mn 6.201 6.284 0.802
Mn 6.284 2.012 2.407
Mn 6.284 2.178 5.615
Mn 6.367 6.284 4.011
```